Entry 1:
Here is a geometry-optimized LiZr2Mo structure from the Alexandria database. Energies are from PBE-GGA.

The value obtained for the polymorph energy (0 for the lowest one) is 1.151 eV per formula unit. For the total energy, the calculation gives -7.132 eV/atom. As for the formation energy: 0.328 eV/atom.

Unit cell a=10.985 b=10.985 c=10.985 alpha=15.26 beta=15.26 gamma=15.26
Fractional coordinates of all 4 atoms:
Mo: 0.750 0.750 0.750
Zr: 0.004 0.004 0.004
Zr: 0.496 0.496 0.496
Li: 0.250 0.250 0.250

=====

Entry 2:
Here is a geometry-optimized LiZrMo3 structure from the Alexandria database. Energies are from PBE-GGA.

The value obtained for the polymorph energy (0 for the lowest one) is 4.441 eV per formula unit. For the total energy, the calculation gives -6.611 eV/atom. As for the formation energy: 1.980 eV/atom.

Unit cell a=4.837 b=4.837 c=4.837 alpha=90.00 beta=90.00 gamma=90.00
Fractional coordinates of all 5 atoms:
Mo: 0.000 0.500 0.000
Mo: 0.000 0.000 0.500
Mo: 0.500 0.000 0.000
Zr: 0.000 0.000 0.000
Li: 0.500 0.500 0.500

=====

Entry 3:
Here is a geometry-optimized LiZr2Mo structure from the Alexandria database. Energies are from PBE-GGA.

The value obtained for the polymorph energy (0 for the lowest one) is 0.937 eV per formula unit. For the total energy, the calculation gives -7.186 eV/atom. As for the formation energy: 0.275 eV/atom.

Unit cell a=5.297 b=5.297 c=5.297 alpha=134.24 beta=134.24 gamma=66.72
Fractional coordinates of all 4 atoms:
Li: 0.500 0.500 0.000
Zr: 0.000 0.000 0.000
Zr: 0.250 0.750 0.500
Mo: 0.750 0.250 0.500

=====

Entry 4:
Here is a geometry-optimized LiZr2Mo2 structure from the Alexandria database. Energies are from PBE-GGA.

For the total energy, the calculation gives -7.793 eV/atom. As for the formation energy: 0.341 eV/atom.

Unit cell a=7.432 b=7.432 c=3.618 alpha=90.00 beta=90.00 gamma=90.00
Fractional coordinates of all 10 atoms:
Mo: 0.115 0.385 0.000
Mo: 0.885 0.615 0.000
Mo: 0.385 0.885 0.000
Mo: 0.615 0.115 0.000
Zr: 0.322 0.178 0.500
Zr: 0.822 0.322 0.500
Zr: 0.678 0.822 0.500
Zr: 0.178 0.678 0.500
Li: 0.500 0.500 0.000
Li: 0.000 0.000 0.000